[1]
Below is crystalline Y2Mg3Ni2 at its relaxed geometry, with properties calculated at the PBE level.

Output
E_form	-0.27	eV/atom
total magnetization	0.0000	μB per atom
SG	C2/m

Unit cell a=5.4823 b=5.4823 c=7.4157 alpha=96.69 beta=96.69 gamma=41.84
With the nearest neighbours (Å) after each atom.
Fractional positions:
Y 0.1247 0.1247 0.3647  5 Ni 2.88-3.01
Y 0.8753 0.8753 0.6353  5 Ni 2.88-3.01
Mg 0.1848 0.1848 0.8539  2 Ni 2.66
Mg 0.5000 0.5000 0.0000  2 Ni 2.91, 4 Mg 3.02
Mg 0.8152 0.8152 0.1461  2 Ni 2.66
Ni 0.4181 0.4181 0.3617  1 Ni 2.48, 2 Mg 2.66
Ni 0.5819 0.5819 0.6383  1 Ni 2.48, 2 Mg 2.66


[2]
Below is crystalline Y3MgNi at its relaxed geometry, with properties calculated at the PBE level.

Output
E_form	-0.16	eV/atom
total magnetization	0.0000	μB per atom
SG	P2_1/m

Unit cell a=8.5391 b=3.7739 c=9.1190 alpha=90.00 beta=114.98 gamma=90.00
With the nearest neighbours (Å) after each atom.
Fractional positions:
Y 0.0119 0.2500 0.1722  1 Ni 3.17, 2 Mg 3.27, 2 Y 3.45
Y 0.2234 0.7500 0.5467  2 Ni 2.79
Y 0.3688 0.7500 0.2191  3 Ni 2.72-2.88
Y 0.6312 0.2500 0.7809  3 Ni 2.72-2.88
Y 0.7766 0.2500 0.4533  2 Ni 2.79
Y 0.9881 0.7500 0.8278  1 Ni 3.17, 2 Mg 3.27, 2 Y 3.45
Mg 0.3256 0.2500 0.9004  7 Y 3.22-3.51, 2 Mg 3.34
Mg 0.6744 0.7500 0.0996  7 Y 3.22-3.51, 2 Mg 3.34
Ni 0.3961 0.2500 0.4436  2 Ni 2.49, 4 Y 2.72-2.79
Ni 0.6039 0.7500 0.5564  2 Ni 2.49, 4 Y 2.72-2.79


[3]
Below is crystalline Y6MgNi at its relaxed geometry, with properties calculated at the PBE level.

Output
E_form	0.13	eV/atom
total magnetization	0.0001	μB per atom
SG	P-1

Unit cell a=6.9592 b=6.9631 c=7.2171 alpha=90.05 beta=118.77 gamma=119.97
With the nearest neighbours (Å) after each atom.
Fractional positions:
Y 0.0494 0.0786 0.2577  1 Ni 2.65
Y 0.2868 0.7082 0.2576  1 Ni 2.65
Y 0.3201 0.5287 0.7424  1 Ni 2.65
Y 0.6799 0.4713 0.2576  1 Ni 2.65
Y 0.7132 0.2918 0.7424  1 Ni 2.65
Y 0.9506 0.9214 0.7423  1 Ni 2.65
Mg 0.5000 0.0000 0.0000  6 Y 3.07
Ni 0.5000 0.5000 0.5000  6 Y 2.65


[4]
Below is crystalline YMg4Ni at its relaxed geometry, with properties calculated at the PBE level.

Output
E_form	0.19	eV/atom
total magnetization	0.0453	μB per atom
SG	F-43m

Unit cell a=5.7071 b=5.7071 c=5.7071 alpha=60.00 beta=60.00 gamma=60.00
With the nearest neighbours (Å) after each atom.
Fractional positions:
Y 0.0000 0.0000 0.0000  12 Mg 3.35, 4 Ni 3.49
Mg 0.1270 0.6243 0.6243  6 Mg 2.84-2.87
Mg 0.6243 0.1270 0.6243  6 Mg 2.84-2.87
Mg 0.6243 0.6243 0.1270  6 Mg 2.84-2.87
Mg 0.6243 0.6243 0.6243  6 Mg 2.84-2.87
Ni 0.2500 0.2500 0.2500  12 Mg 3.34, 4 Y 3.49


[5]
Below is crystalline YMg3Ni8 at its relaxed geometry, with properties calculated at the PBE level.

Output
E_form	-0.29	eV/atom
total magnetization	0.0006	μB per atom
SG	R3m

Unit cell a=8.4742 b=8.4742 c=8.4742 alpha=33.56 beta=33.56 gamma=33.56
With the nearest neighbours (Å) after each atom.
Fractional positions:
Y 0.0000 0.0000 0.0000  12 Ni 2.87-2.92, 4 Mg 3.06-3.07
Mg 0.1280 0.1280 0.1280  12 Ni 2.76-2.90, 3 Mg 2.95, 1 Y 3.07
Mg 0.4975 0.4975 0.4975  12 Ni 2.80-2.87, 4 Mg 2.88-2.95
Mg 0.6177 0.6177 0.6177  12 Ni 2.81-3.04, 1 Mg 2.88, 3 Y 3.06
Ni 0.0616 0.0616 0.5578  6 Ni 2.42-2.47
Ni 0.0616 0.5578 0.0616  6 Ni 2.42-2.47
Ni 0.0639 0.5632 0.5632  6 Ni 2.42-2.49
Ni 0.3112 0.3112 0.3112  6 Ni 2.46-2.49
Ni 0.5578 0.0616 0.0616  6 Ni 2.42-2.47
Ni 0.5632 0.0639 0.5632  6 Ni 2.42-2.49
Ni 0.5632 0.5632 0.0639  6 Ni 2.42-2.49
Ni 0.8119 0.8119 0.8119  6 Ni 2.42


[6]
Below is crystalline Y2Mg2Ni at its relaxed geometry, with properties calculated at the PBE level.

Output
E_form	0.07	eV/atom
total magnetization	0.0001	μB per atom
SG	P4/mbm

Unit cell a=6.7558 b=6.7558 c=5.1968 alpha=90.00 beta=90.00 gamma=90.00
With the nearest neighbours (Å) after each atom.
Fractional positions:
Y 0.1750 0.3250 0.0000  6 Mg 3.10-3.40, 1 Y 3.34
Y 0.3250 0.8250 0.0000  6 Mg 3.10-3.40, 1 Y 3.34
Y 0.6750 0.1750 0.0000  6 Mg 3.10-3.40, 1 Y 3.34
Y 0.8250 0.6750 0.0000  6 Mg 3.10-3.40, 1 Y 3.34
Mg 0.1484 0.6484 0.5000  2 Ni 2.58, 1 Mg 2.84
Mg 0.3516 0.1484 0.5000  2 Ni 2.58, 1 Mg 2.84
Mg 0.6484 0.8516 0.5000  2 Ni 2.58, 1 Mg 2.84
Mg 0.8516 0.3516 0.5000  2 Ni 2.58, 1 Mg 2.84
Ni 0.0000 0.0000 0.5000  4 Mg 2.58
Ni 0.5000 0.5000 0.5000  4 Mg 2.58


[7]
Below is crystalline Y3Mg4Ni4 at its relaxed geometry, with properties calculated at the PBE level.

Output
E_form	-0.24	eV/atom
total magnetization	0.0000	μB per atom
SG	Immm

Unit cell a=8.2633 b=8.2633 c=8.2633 alpha=152.50 beta=123.25 gamma=64.20
With the nearest neighbours (Å) after each atom.
Fractional positions:
Y 0.0000 0.0000 0.0000  6 Ni 3.24-3.27, 8 Mg 3.44
Y 0.3818 0.8818 0.5000  6 Ni 2.88-2.89, 4 Mg 3.21
Y 0.6182 0.1182 0.5000  6 Ni 2.88-2.89, 4 Mg 3.21
Mg 0.0202 0.3292 0.6911  4 Ni 2.61-2.79
Mg 0.3619 0.6708 0.6911  4 Ni 2.61-2.79
Mg 0.6381 0.3292 0.3089  4 Ni 2.61-2.79
Mg 0.9798 0.6708 0.3089  4 Ni 2.61-2.79
Ni 0.2313 0.2313 0.0000  6 Mg 2.61-2.79, 2 Y 2.88
Ni 0.3324 0.5000 0.8324  1 Ni 2.63, 2 Mg 2.64, 4 Y 2.89
Ni 0.6676 0.5000 0.1676  1 Ni 2.63, 2 Mg 2.64, 4 Y 2.89
Ni 0.7687 0.7687 0.0000  6 Mg 2.61-2.79, 2 Y 2.88


[8]
Below is crystalline Y2MgNi at its relaxed geometry, with properties calculated at the PBE level.

Output
E_form	0.07	eV/atom
total magnetization	0.0000	μB per atom
SG	I-42d

Unit cell a=6.4926 b=6.4926 c=6.4926 alpha=103.23 beta=103.23 gamma=122.84
With the nearest neighbours (Å) after each atom.
Fractional positions:
Y 0.0619 0.1250 0.4369  2 Ni 2.63
Y 0.3750 0.9381 0.0631  2 Ni 2.63
Y 0.6881 0.6250 0.5631  2 Ni 2.63
Y 0.8750 0.3119 0.9369  2 Ni 2.63
Mg 0.2500 0.7500 0.5000  2 Ni 3.11, 8 Y 3.32-3.43
Mg 0.5000 0.5000 0.0000  2 Ni 3.11, 8 Y 3.32-3.43
Ni 0.0000 0.0000 0.0000  4 Y 2.63
Ni 0.7500 0.2500 0.5000  4 Y 2.63


[9]
Below is crystalline YMg2Ni at its relaxed geometry, with properties calculated at the PBE level.

Output
E_form	0.12	eV/atom
total magnetization	0.0000	μB per atom
SG	R-3m

Unit cell a=9.6260 b=9.6260 c=9.6260 alpha=19.31 beta=19.31 gamma=19.31
With the nearest neighbours (Å) after each atom.
Fractional positions:
Y 0.0000 0.0000 0.0000  6 Y 3.23, 6 Mg 3.44
Mg 0.2314 0.2314 0.2314  3 Ni 2.62
Mg 0.7686 0.7686 0.7686  3 Ni 2.62
Ni 0.5000 0.5000 0.5000  6 Mg 2.62


[10]
Below is crystalline YMgNi at its relaxed geometry, with properties calculated at the PBE level.

Output
E_form	-0.32	eV/atom
total magnetization	0.0000	μB per atom
SG	C2/m

Unit cell a=5.4252 b=5.4252 c=7.3811 alpha=119.83 beta=119.83 gamma=42.71
With the nearest neighbours (Å) after each atom.
Fractional positions:
Y 0.0738 0.0738 0.3379  5 Ni 2.88-2.96
Y 0.9262 0.9262 0.6621  5 Ni 2.88-2.96
Mg 0.3174 0.3174 0.9203  3 Ni 2.69-2.85, 2 Mg 2.98
Mg 0.6826 0.6826 0.0797  3 Ni 2.69-2.85, 2 Mg 2.98
Ni 0.3666 0.3666 0.3383  1 Ni 2.47, 2 Mg 2.69
Ni 0.6334 0.6334 0.6617  1 Ni 2.47, 2 Mg 2.69


[11]
Below is crystalline Y2MgNi at its relaxed geometry, with properties calculated at the PBE level.

Output
E_form	-0.13	eV/atom
total magnetization	0.0000	μB per atom
SG	Amm2

Unit cell a=3.7629 b=6.6472 c=6.6472 alpha=36.25 beta=90.00 gamma=90.00
With the nearest neighbours (Å) after each atom.
Fractional positions:
Y 0.0000 0.0000 0.0000  4 Ni 2.85
Y 0.5000 0.3204 0.3204  1 Ni 2.83
Mg 0.0000 0.6958 0.6958  2 Ni 2.69
Ni 0.5000 0.5441 0.5441  2 Mg 2.69, 5 Y 2.83-2.85


[12]
Below is crystalline Y2MgNi at its relaxed geometry, with properties calculated at the PBE level.

Output
E_form	-0.13	eV/atom
total magnetization	0.0000	μB per atom
SG	P4/mmm

Unit cell a=4.9938 b=4.9938 c=3.6810 alpha=90.00 beta=90.00 gamma=90.00
With the nearest neighbours (Å) after each atom.
Fractional positions:
Y 0.0000 0.5000 0.0000  4 Ni 3.10, 4 Mg 3.10
Y 0.5000 0.0000 0.0000  4 Ni 3.10, 4 Mg 3.10
Mg 0.0000 0.0000 0.5000  8 Y 3.10
Ni 0.5000 0.5000 0.5000  8 Y 3.10


[13]
Below is crystalline YMg2Ni at its relaxed geometry, with properties calculated at the PBE level.

Output
E_form	-0.07	eV/atom
total magnetization	0.0000	μB per atom
SG	P4/mmm

Unit cell a=4.0747 b=4.0747 c=4.9865 alpha=90.00 beta=90.00 gamma=90.00
With the nearest neighbours (Å) after each atom.
Fractional positions:
Y 0.0000 0.0000 0.0000  4 Ni 2.88, 8 Mg 3.22
Mg 0.0000 0.5000 0.5000  4 Mg 2.88, 4 Ni 3.22, 4 Y 3.22
Mg 0.5000 0.0000 0.5000  4 Mg 2.88, 4 Ni 3.22, 4 Y 3.22
Ni 0.5000 0.5000 0.0000  4 Y 2.88, 8 Mg 3.22